# 1
Computed, not measured: a relaxed structure of InB4Au at the GGA-PBE level of DFT.

POSCAR file:
```
InB4Au
1.0
-0.777 -2.940 -0.173
2.743 0.909 -0.962
3.309 -1.353 8.152
B Au In
4 1 1
Direct
0.333 0.667 0.727 B
0.333 0.667 0.273 B
0.667 0.333 0.727 B
0.667 0.333 0.273 B
0.000 0.000 0.500 Au
0.000 0.000 0.000 In
```

---

# 2
Computed, not measured: a relaxed structure of NaNbF3 at the GGA-PBE level of DFT.

POSCAR file:
```
NaNbF3
1.0
6.073 0.000 0.000
0.000 8.511 0.000
0.000 0.000 5.112
F Na Nb
12 4 4
Direct
0.717 0.605 0.193 F
0.217 0.895 0.307 F
0.639 0.750 0.669 F
0.717 0.895 0.193 F
0.783 0.105 0.693 F
0.217 0.605 0.307 F
0.361 0.250 0.331 F
0.283 0.105 0.807 F
0.783 0.395 0.693 F
0.139 0.750 0.831 F
0.861 0.250 0.169 F
0.283 0.395 0.807 F
0.500 0.000 0.500 Na
0.000 0.000 0.000 Na
0.000 0.500 0.000 Na
0.500 0.500 0.500 Na
0.948 0.750 0.464 Nb
0.052 0.250 0.536 Nb
0.552 0.250 0.964 Nb
0.448 0.750 0.036 Nb
```

Properties
As for the total magnetization: 0.6000 μB/atom.

---

# 3
Computed, not measured: a relaxed structure of BaLiHfAu at the GGA-PBE level of DFT.

POSCAR file:
```
BaLiHfAu
1.0
0.000 3.550 3.550
3.550 0.000 3.550
3.550 3.550 0.000
Li Au Ba Hf
1 1 1 1
Direct
0.500 0.500 0.500 Li
0.750 0.750 0.750 Au
0.250 0.250 0.250 Ba
0.000 0.000 0.000 Hf
```

Properties
As for the total magnetization: 0.0001 μB/atom.

---

Polymorph energy (0 for the lowest one) across the listed records, respectively: 0.6 10.4 0.0 kJ per mole of atoms.